[1]
Li2RuPt: optimized geometry, PBE-GGA.

Results
- size of the total moment (μB/cell) = 0.2
- E_form (eV per atom) = -0.221
- N(E_F) (states/eV/f.u.) = 3.03

abc: 2.6997 2.6997 26.3687
angles: 90.00 90.00 120.00
With the nearest neighbours (Å) after each atom.
Space group R-3m (No. 166, hexagonal axes)
Unique sites:
Li 0.0000 0.0000 0.2482 x6  3 Pt 2.66, 6 Li 2.70, 3 Ru 2.73
Ru 0.0000 0.0000 0.0000 x3  6 Ru 2.70, 6 Li 2.73
Pt 0.0000 0.0000 0.5000 x3  6 Li 2.66, 6 Pt 2.70

=====

[2]
Li2RuPt: optimized geometry, PBE-GGA.

Results
- size of the total moment (μB/cell) = 0.7
- E_form (eV per atom) = -0.041
- N(E_F) (states/eV/f.u.) = 3.79

abc: 5.2450 8.3354 2.5761
angles: 90.00 90.00 90.00
With the nearest neighbours (Å) after each atom.
Space group Cmmm (No. 65)
Unique sites:
Li 0.2500 0.2500 0.0000 x4  4 Li 2.58-2.62, 4 Ru 2.78, 4 Pt 2.78
Ru 0.0000 0.0000 0.5000 x2  2 Ru 2.58, 2 Pt 2.62, 8 Li 2.78
Pt 0.0000 0.5000 0.5000 x2  2 Pt 2.58, 2 Ru 2.62, 8 Li 2.78

=====

[3]
Li2RuPt: optimized geometry, PBE-GGA.

Results
- size of the total moment (μB/cell) = 0.0
- E_form (eV per atom) = -0.185
- N(E_F) (states/eV/f.u.) = 2.79

abc: 2.6309 4.4379 4.7571
angles: 90.00 91.72 90.00
With the nearest neighbours (Å) after each atom.
Space group P2/m (No. 10)
Unique sites:
Li 0.2272 0.0000 0.2457 x2  6 Li 2.59-2.78, 2 Pt 2.61, 2 Ru 2.62
Ru 0.5000 0.5000 0.0000 x1  4 Li 2.62, 2 Ru 2.63, 4 Pt 2.68-2.75
Pt 0.0000 0.5000 0.5000 x1  4 Li 2.61, 2 Pt 2.63, 4 Ru 2.68-2.75

=====

[4]
LiRuPt2: optimized geometry, PBE-GGA.

Results
- size of the total moment (μB/cell) = 0.0
- E_form (eV per atom) = -0.029
- N(E_F) (states/eV/f.u.) = 2.70

abc: 2.7413 2.7413 7.7193
angles: 90.00 90.00 90.00
With the nearest neighbours (Å) after each atom.
Space group P4mm (No. 99)
Unique sites:
Li 0.0000 0.0000 0.0000 x1  4 Pt 2.64, 4 Li 2.74, 4 Ru 2.78
Ru 0.5000 0.5000 0.7426 x1  4 Pt 2.68, 4 Ru 2.74, 4 Li 2.78
Pt 0.0000 0.0000 0.5028 x1  4 Ru 2.68, 8 Pt 2.74-2.85
Pt 0.5000 0.5000 0.2324 x1  4 Li 2.64, 8 Pt 2.74-2.85